Entry 1:
5
Lattice="5.385 0.000 0.000 0.000 5.385 0.000 0.000 0.000 5.797" Properties=species:S:1:pos:R:3 comment="RbNaAsSe2 PBE relaxed" energy_ev_per_atom=-2.907 space_group="P4/mmm, No. 123" pbc="T T T"
Rb 0.000 0.000 0.000
Na 2.693 2.693 0.000
As 0.000 0.000 2.898
Se 0.000 2.693 2.898
Se 2.693 0.000 2.898

=====

Entry 2:
5
Lattice="6.294 0.000 0.000 0.000 6.294 0.000 0.000 0.000 6.474" Properties=species:S:1:pos:R:3 comment="RbNaAsSe2 PBE relaxed" energy_ev_per_atom=-2.121 space_group="P4/mmm, No. 123" pbc="T T T"
Rb 0.000 0.000 0.000
Na 3.147 3.147 3.237
As 0.000 0.000 3.237
Se 0.000 3.147 0.000
Se 3.147 0.000 0.000

=====

Entry 3:
4
Lattice="3.618 -2.089 0.000 3.618 2.089 0.000 -2.425 0.000 10.186" Properties=species:S:1:pos:R:3 comment="RbNaSnAs PBE relaxed" formation_energy_ev_per_atom=-0.20 energy_ev_per_atom=-2.937 space_group="Cm, No. 8" pbc="T T T"
Rb 0.000 0.000 0.000
Na 2.418 0.000 6.303
Sn 0.002 0.000 3.904
As 2.414 0.000 2.556

=====

Entry 4:
5
Lattice="5.646 0.000 0.000 0.000 5.646 0.000 0.000 0.000 5.905" Properties=species:S:1:pos:R:3 comment="RbNa2SnAs PBE relaxed" formation_energy_ev_per_atom=0.68 energy_ev_per_atom=-1.773 space_group="P4/mmm, No. 123" pbc="T T T"
Rb 0.000 0.000 0.000
Na 0.000 2.823 0.000
Na 2.823 0.000 0.000
Sn 2.823 2.823 2.953
As 0.000 0.000 2.953

=====

Entry 5:
8
Lattice="5.816 -4.308 0.000 5.816 4.308 0.000 -3.694 0.000 5.429" Properties=species:S:1:pos:R:3 comment="RbNaTe4As2 PBE relaxed" energy_ev_per_atom=-3.284 space_group="C2/m, No. 12" pbc="T T T"
Rb 0.000 0.000 0.000
Na 3.968 0.000 2.714
Te 2.908 2.154 0.000
Te 1.061 2.154 2.714
Te 2.908 -2.154 0.000
Te 1.061 -2.154 2.714
As 1.038 0.000 4.681
As 6.899 0.000 0.747

=====

Entry 6:
10
Lattice="3.372 -7.265 0.000 3.372 7.265 0.000 0.000 0.000 6.967" Properties=species:S:1:pos:R:3 comment="RbNaTe2As PBE relaxed" energy_ev_per_atom=-3.037 space_group="Cmme, No. 67" pbc="T T T"
Rb 3.372 3.633 5.361
Rb 3.372 -3.633 1.605
Na 1.686 0.000 3.483
Na 5.057 0.000 3.483
Te 3.372 5.163 1.816
Te 3.372 2.102 1.816
Te 3.372 -2.102 5.150
Te 3.372 -5.163 5.150
As 0.000 0.000 0.000
As 3.372 0.000 0.000

=====

Entry 7:
4
Lattice="0.000 3.923 3.923 3.923 0.000 3.923 3.923 3.923 0.000" Properties=species:S:1:pos:R:3 comment="RbNaTlAs PBE relaxed" formation_energy_ev_per_atom=-0.16 energy_ev_per_atom=-2.483 space_group="F-43m, No. 216" pbc="T T T"
Rb 0.000 0.000 0.000
Na 5.884 5.884 5.884
Tl 1.961 1.961 1.961
As 3.923 3.923 3.923

=====

Entry 8:
7
Lattice="2.218 1.280 10.255 -2.218 1.280 10.255 0.000 -2.561 10.255" Properties=species:S:1:pos:R:3 comment="RbNa2Zn2As2 PBE relaxed" formation_energy_ev_per_atom=-0.30 energy_ev_per_atom=-2.510 space_group="R-3m, No. 166" pbc="T T T"
Rb 0.000 0.000 0.000
Na 0.000 0.000 4.398
Na 0.000 0.000 26.367
Zn 0.000 0.000 13.245
Zn 0.000 0.000 17.520
As 0.000 0.000 7.608
As 0.000 0.000 23.157

=====

Entry 9:
5
Lattice="4.548 0.000 0.000 0.000 4.548 0.000 0.000 0.000 4.548" Properties=species:S:1:pos:R:3 comment="NaRe3As PBE relaxed" formation_energy_ev_per_atom=3.19 energy_ev_per_atom=-5.474 space_group="Pm-3m, No. 221" pbc="T T T"
Na 0.000 0.000 0.000
Re 0.000 0.000 2.274
Re 0.000 2.274 0.000
Re 2.274 0.000 0.000
As 2.274 2.274 2.274

=====

Entry 10:
4
Lattice="3.093 0.000 0.000 0.000 3.093 0.000 0.000 0.000 7.576" Properties=species:S:1:pos:R:3 comment="NaReAs2 PBE relaxed" formation_energy_ev_per_atom=-0.14 energy_ev_per_atom=-5.906 space_group="P4/mmm, No. 123" pbc="T T T"
Na 0.000 0.000 0.000
Re 0.000 0.000 3.788
As 1.546 1.546 2.271
As 1.546 1.546 5.305

=====

Entry 11:
4
Lattice="0.000 3.187 3.187 3.187 0.000 3.187 3.187 3.187 0.000" Properties=species:S:1:pos:R:3 comment="NaReAs2 PBE relaxed" formation_energy_ev_per_atom=0.26 energy_ev_per_atom=-5.509 space_group="Fm-3m, No. 225" pbc="T T T"
Na 0.000 0.000 0.000
Re 3.187 3.187 3.187
As 1.594 1.594 1.594
As 4.781 4.781 4.781

=====

Entry 12:
8
Lattice="-3.216 3.216 5.598 3.216 -3.216 5.598 3.216 3.216 -5.598" Properties=species:S:1:pos:R:3 comment="NaReAs2 PBE relaxed" formation_energy_ev_per_atom=0.20 energy_ev_per_atom=-5.570 space_group="I-42d, No. 122" pbc="T T T"
Na 0.000 0.000 0.000
Na 0.000 3.216 2.799
Re 3.216 0.000 2.799
Re 0.000 0.000 5.598
As 1.608 -1.017 4.198
As 2.199 1.608 1.399
As 1.608 4.233 -1.399
As 1.017 1.608 6.997